The following is a DFT calculation (SCAN) of a crystal of MnPtCl2 relaxed with PBEsol.

POSCAR file:
```
MnPtCl2
1.0
-1.8864 -0.9960 2.8397
0.3154 -3.4555 -1.0024
5.4467 -0.7072 3.3702
Mn Pt Cl
1 1 2
Cartesian
2.5482 -2.0138 0.9865 Mn
1.1223 -4.1738 1.5028 Pt
0.4911 -0.9543 -0.0084 Cl
2.9105 -3.5537 2.9082 Cl
```

Results
M_tot (Bohr magnetons per cell): 5.000
Energy relative to the lowest polymorph listed for this composition (meV per atom): 0
Raw formation energy (eV per atom): -0.546

***

The following is a DFT calculation (SCAN) of a crystal of RbMnCl3 relaxed with PBEsol.

POSCAR file:
```
RbMnCl3
1.0
-0.8283 5.8279 -1.6019
-2.6328 1.3737 6.3590
6.8897 0.6596 -1.1628
Mn Rb Cl
2 2 6
Cartesian
0.0000 0.0000 0.0000 Mn
-0.4142 2.9139 -0.8010 Mn
-0.0799 5.5066 2.6503 Rb
3.5084 2.3546 0.9439 Rb
3.3713 5.8496 2.1137 Cl
1.1932 4.8093 -0.5449 Cl
0.0573 2.0116 1.4805 Cl
4.7184 5.1467 -1.1399 Cl
-1.2898 2.7144 4.7341 Cl
2.2354 3.0519 4.1391 Cl
```

Results
M_tot (Bohr magnetons per cell): 10.000
Raw formation energy (eV per atom): -1.863

***

The following is a DFT calculation (SCAN) of a crystal of RbZr6MnCl14 relaxed with PBEsol.

POSCAR file:
```
RbZr6MnCl14
1.0
-0.3460 2.5957 -9.2623
0.1151 -9.5011 -1.5371
-11.7211 -0.2035 0.3808
Rb Zr Mn Cl
2 12 2 28
Cartesian
-0.1155 -3.4527 -5.3997 Rb
-5.8605 -0.1018 0.1904 Rb
-7.2911 -2.5337 -3.5323 Zr
-4.6610 -4.5753 -6.8863 Zr
-1.3849 -1.0677 -1.5893 Zr
-10.5672 -6.0413 -8.8293 Zr
-10.2982 -8.7360 -2.9495 Zr
-1.6538 1.6270 -7.4690 Zr
-4.5218 -4.4752 -3.5058 Zr
-7.3186 -5.5630 -5.0422 Zr
-7.4302 -2.6338 -6.9128 Zr
-4.6335 -1.5460 -5.3764 Zr
-1.3044 -7.5406 -1.6144 Zr
-10.6477 0.4316 -8.8041 Zr
0.0000 0.0000 0.0000 Mn
-5.9760 -3.5545 -5.2093 Mn
-11.7882 -0.4130 -3.2166 Cl
-0.1639 -6.6960 -7.2020 Cl
-5.8168 -3.3435 -1.6149 Cl
-6.0222 -6.7322 -6.9091 Cl
-6.1353 -3.7655 -8.8037 Cl
-5.9298 -0.3767 -3.5095 Cl
-0.2769 -3.7293 -9.0966 Cl
-11.6751 -3.3797 -1.3220 Cl
-0.0014 -6.4456 -3.4884 Cl
-0.2295 -0.4599 -7.3110 Cl
-5.8596 -6.6101 -3.2580 Cl
-6.0925 -0.4989 -7.1606 Cl
-8.8275 -7.7207 -4.8892 Cl
-3.1245 0.6118 -5.5293 Cl
-2.8940 -5.4367 -1.6667 Cl
-9.0581 -1.6723 -8.7518 Cl
-8.7351 -1.2570 -1.4469 Cl
-3.2170 -5.8520 -8.9716 Cl
-2.9160 -2.3961 -3.5780 Cl
-9.0360 -4.7129 -6.8406 Cl
-8.9761 -1.5546 -5.1748 Cl
-2.9759 -5.5544 -5.2438 Cl
-3.2709 0.4929 -9.1043 Cl
-9.0291 1.5258 -7.1433 Cl
-8.6812 -7.6019 -1.3143 Cl
-2.9230 -8.6347 -3.2752 Cl
-3.0891 -2.5852 -7.1399 Cl
-8.8630 -4.5238 -3.2786 Cl
```

Results
M_tot (Bohr magnetons per cell): 0.000
Raw formation energy (eV per atom): -1.916

***

> Which of these has the lowest M_tot?

RbZr6MnCl14

***

> Which of these has the lowest M_tot?

RbZr6MnCl14